[1]
! NdNb6Sn6 | the Alexandria database | PBE | optimized geometry; values from VASP
! DFT formation energy (eV per atom): -0.329
! Volume (Å³ per atom): 21.78
&SYSTEM
  ibrav = 0, nat = 13, ntyp = 3
/
ATOMIC_SPECIES
Nd 144.24 Nd.upf
Nb 92.91 Nb.upf
Sn 118.71 Sn.upf
CELL_PARAMETERS angstrom
-2.910 4.830 5.035
2.910 -4.830 5.035
2.910 4.830 -5.035
ATOMIC_POSITIONS angstrom
Nd 0.000 0.000 0.000
Nb 1.455 2.415 -2.518
Nb 1.455 -2.415 2.518
Nb 2.910 2.439 0.000
Nb -1.455 2.415 2.518
Nb 1.455 2.415 2.518
Nb 0.000 2.391 5.035
Sn 2.910 0.000 1.668
Sn 0.000 3.201 0.000
Sn 0.000 0.000 3.364
Sn 0.000 0.000 6.706
Sn 0.000 6.459 0.000
Sn 0.000 4.830 3.367

***

[2]
! BeCr2Ir | the Alexandria database | PBE | optimized geometry; values from VASP
! DFT formation energy (eV per atom): -0.078
! Volume (Å³ per atom): 11.89
&SYSTEM
  ibrav = 0, nat = 4, ntyp = 3
/
ATOMIC_SPECIES
Be 9.01 Be.upf
Cr 52.00 Cr.upf
Ir 192.22 Ir.upf
CELL_PARAMETERS angstrom
-1.439 2.121 3.897
1.439 -2.121 3.897
1.439 2.121 -3.897
ATOMIC_POSITIONS angstrom
Be 0.000 0.000 0.000
Cr 1.439 0.000 2.001
Cr 0.000 0.000 3.767
Ir 0.000 2.121 1.975

***

[3]
! La2FeMo | the Alexandria database | PBE | optimized geometry; values from VASP
! DFT formation energy (eV per atom): 0.436
! Volume (Å³ per atom): 25.33
! Distance to the lowest polymorph of the same formula (meV/atom): 149
&SYSTEM
  ibrav = 0, nat = 4, ntyp = 3
/
ATOMIC_SPECIES
La 138.91 La.upf
Fe 55.84 Fe.upf
Mo 95.94 Mo.upf
CELL_PARAMETERS angstrom
3.701 0.000 0.000
0.000 3.701 0.000
0.000 0.000 7.397
ATOMIC_POSITIONS angstrom
La 0.000 0.000 0.000
La 1.850 1.850 3.219
Fe 1.850 1.850 5.519
Mo 0.000 0.000 4.968

***

[4]
! NaGa6Pd | the Alexandria database | PBE | optimized geometry; values from VASP
! DFT formation energy (eV per atom): -0.254
! Volume (Å³ per atom): 19.68
&SYSTEM
  ibrav = 0, nat = 8, ntyp = 3
/
ATOMIC_SPECIES
Na 22.99 Na.upf
Ga 69.72 Ga.upf
Pd 106.42 Pd.upf
CELL_PARAMETERS angstrom
4.308 0.000 0.000
0.000 4.308 0.000
0.000 0.000 8.486
ATOMIC_POSITIONS angstrom
Na 0.000 0.000 0.000
Ga 0.000 2.154 2.777
Ga 0.000 2.154 5.710
Ga 2.154 0.000 2.777
Ga 2.154 0.000 5.710
Ga 2.154 2.154 1.240
Ga 2.154 2.154 7.246
Pd 0.000 0.000 4.243

***

[5]
! Mg2Be2AsO6 | the Alexandria database | PBE | optimized geometry; values from VASP
! Formation energy without anion corrections (meV/atom): -1949
! Volume (Å³ per atom): 9.05
&SYSTEM
  ibrav = 0, nat = 11, ntyp = 4
/
ATOMIC_SPECIES
Mg 24.30 Mg.upf
Be 9.01 Be.upf
As 74.92 As.upf
O 16.00 O.upf
CELL_PARAMETERS angstrom
4.853 0.000 0.000
-2.427 4.203 0.000
0.000 0.000 4.880
ATOMIC_POSITIONS angstrom
Mg 0.000 2.802 2.425
Mg 2.427 1.401 2.454
Be 0.000 2.802 4.856
Be 2.427 1.401 0.023
As 0.000 0.000 0.000
O -1.551 2.702 3.827
O 0.863 1.509 3.827
O 1.738 0.007 1.052
O 0.689 4.196 3.827
O 1.564 2.694 1.052
O 3.978 1.501 1.052

***

[6]
! SrAgSn2N | the Alexandria database | PBE | optimized geometry; values from VASP
! Formation energy without anion corrections (meV/atom): 1853
! Volume (Å³ per atom): 48.22
&SYSTEM
  ibrav = 0, nat = 5, ntyp = 4
/
ATOMIC_SPECIES
Sr 87.62 Sr.upf
Ag 107.87 Ag.upf
Sn 118.71 Sn.upf
N 14.01 N.upf
CELL_PARAMETERS angstrom
6.367 0.000 0.000
0.000 6.367 0.000
0.000 0.000 5.947
ATOMIC_POSITIONS angstrom
Sr 0.000 0.000 0.000
Ag 0.000 0.000 2.973
Sn 0.000 3.184 0.000
Sn 3.184 0.000 0.000
N 3.184 3.184 2.973

***

Please write out number 1 again, unchanged.
! NdNb6Sn6 | the Alexandria database | PBE | optimized geometry; values from VASP
! DFT formation energy (eV per atom): -0.329
! Volume (Å³ per atom): 21.78
&SYSTEM
  ibrav = 0, nat = 13, ntyp = 3
/
ATOMIC_SPECIES
Nd 144.24 Nd.upf
Nb 92.91 Nb.upf
Sn 118.71 Sn.upf
CELL_PARAMETERS angstrom
-2.910 4.830 5.035
2.910 -4.830 5.035
2.910 4.830 -5.035
ATOMIC_POSITIONS angstrom
Nd 0.000 0.000 0.000
Nb 1.455 2.415 -2.518
Nb 1.455 -2.415 2.518
Nb 2.910 2.439 0.000
Nb -1.455 2.415 2.518
Nb 1.455 2.415 2.518
Nb 0.000 2.391 5.035
Sn 2.910 0.000 1.668
Sn 0.000 3.201 0.000
Sn 0.000 0.000 3.364
Sn 0.000 0.000 6.706
Sn 0.000 6.459 0.000
Sn 0.000 4.830 3.367